A geometry-optimized Er6HgRh structure. Source: Alexandria, functional PBE.

Output
* DOS at the Fermi energy: 10.44 states/eV/f.u.
* uncorrected energy: -36.3 eV per cell

a = 6.7999 Å, b = 6.8122 Å, c = 7.3334 Å
α = 90.16°, β = 117.44°, γ = 119.87°
With the nearest neighbours (Å) after each atom.
Positions (direct):
Er1 0.0340 0.0795 0.2537  1 Rh 2.68, 1 Hg 2.96
Er2 0.2985 0.7192 0.2530  1 Rh 2.67, 1 Hg 2.96
Er3 0.3236 0.5442 0.7467  1 Rh 2.68, 1 Hg 2.96
Er4 0.6764 0.4558 0.2533  1 Rh 2.68, 1 Hg 2.96
Er5 0.7015 0.2808 0.7470  1 Rh 2.67, 1 Hg 2.96
Er6 0.9660 0.9205 0.7463  1 Rh 2.68, 1 Hg 2.96
Hg1 0.5000 0.0000 0.0000  6 Er 2.96
Rh1 0.5000 0.5000 0.5000  6 Er 2.67-2.68

A geometry-optimized ErHg2Rh structure. Source: Alexandria, functional PBE.

Output
* DOS at the Fermi energy: 3.35 states/eV/f.u.
* uncorrected energy: -13.7 eV per cell

a = 4.8708 Å, b = 4.8708 Å, c = 4.8708 Å
α = 60.00°, β = 60.00°, γ = 60.00°
With the nearest neighbours (Å) after each atom.
Positions (direct):
Er1 0.0000 0.0000 0.0000  8 Hg 2.98
Hg1 0.2500 0.2500 0.2500  4 Rh 2.98, 4 Er 2.98
Hg2 0.7500 0.7500 0.7500  4 Rh 2.98, 4 Er 2.98
Rh1 0.5000 0.5000 0.5000  8 Hg 2.98

Which value of uncorrected energy does entry 1 give? -36.3 eV per cell